# 1
Computed, not measured: a geometry-optimized BaSmAlSe4 structure at the PBE level of DFT.

a b c (Å): 6.894 7.046 8.821
angles (deg): 90.00 107.53 90.00
Positions (direct):
Ba1 0.748 0.750 0.938
Ba2 0.252 0.250 0.062
Se1 0.992 0.007 0.276
Se2 0.426 0.750 0.142
Se3 0.574 0.250 0.858
Se4 0.008 0.993 0.724
Se5 0.992 0.493 0.276
Se6 0.560 0.250 0.412
Se7 0.008 0.507 0.724
Se8 0.440 0.750 0.588
Al1 0.230 0.750 0.322
Al2 0.770 0.250 0.678
Sm1 0.226 0.250 0.554
Sm2 0.774 0.750 0.446

Computed properties:
**Calculated total energy**: -71.036 eV per cell
**SG**: P2_1/m, No. 11

=====

# 2
Computed, not measured: a geometry-optimized Cs4Mg3H10 structure at the PBE level of DFT.

a b c (Å): 4.259 4.259 16.141
angles (deg): 97.58 97.58 90.00
Positions (direct):
Mg1 0.867 0.867 0.733
Mg2 0.000 0.000 0.000
Mg3 0.133 0.133 0.267
Cs1 0.567 0.567 0.133
Cs2 0.299 0.299 0.597
Cs3 0.701 0.701 0.403
Cs4 0.433 0.433 0.867
H1 0.933 0.933 0.867
H2 0.000 0.500 0.000
H3 0.805 0.805 0.610
H4 0.500 0.000 0.000
H5 0.366 0.866 0.732
H6 0.195 0.195 0.390
H7 0.866 0.366 0.732
H8 0.634 0.134 0.268
H9 0.067 0.067 0.133
H10 0.134 0.634 0.268

Computed properties:
**Calculated total energy**: -45.447 eV per cell
**Energy above the most stable polymorph in this dataset**: 0.043 eV per atom
**SG**: I4/mmm, No. 139

=====

# 3
Computed, not measured: a geometry-optimized BaInRu structure at the PBE level of DFT.

a b c (Å): 6.484 6.484 3.665
angles (deg): 73.59 73.59 32.83
Positions (direct):
Ru1 0.711 0.711 0.289
Ba1 0.004 0.004 0.996
In1 0.285 0.285 0.715

Computed properties:
**Calculated total energy**: -13.406 eV per cell
**SG**: I4mm, No. 107
**E_form**: 4.081 kcal/mol of atoms

=====

# 4
Computed, not measured: a geometry-optimized TlInHgPb structure at the PBE level of DFT.

a b c (Å): 5.468 5.468 5.468
angles (deg): 60.00 60.00 60.00
Positions (direct):
Hg1 0.250 0.250 0.250
In1 0.500 0.500 0.500
Pb1 0.750 0.750 0.750
Tl1 0.000 0.000 0.000

Computed properties:
**Calculated total energy**: -9.103 eV per cell
**Energy above the most stable polymorph in this dataset**: 0.000 eV per atom
**SG**: F-43m, No. 216
**E_form**: 0.069 kcal/mol of atoms

=====

# 5
Computed, not measured: a geometry-optimized Th4ZnGa structure at the PBE level of DFT.

a b c (Å): 5.615 7.635 7.635
angles (deg): 90.00 90.00 90.00
Positions (direct):
Th1 0.500 0.158 0.341
Th2 0.500 0.341 0.842
Th3 0.500 0.659 0.158
Th4 0.000 0.842 0.341
Th5 0.500 0.842 0.659
Th6 0.000 0.341 0.158
Th7 0.000 0.659 0.842
Th8 0.000 0.158 0.659
Zn1 0.750 0.500 0.500
Zn2 0.250 0.500 0.500
Ga1 0.250 0.000 0.000
Ga2 0.750 0.000 0.000

Computed properties:
**Calculated total energy**: -71.009 eV per cell
**SG**: P4/mcc, No. 124
**E_form**: -5.859 kcal/mol of atoms

=====

# 6
Computed, not measured: a geometry-optimized CrCdIr2 structure at the PBE level of DFT.

a b c (Å): 9.268 9.268 9.268
angles (deg): 17.16 17.16 17.16
Positions (direct):
Cd1 0.499 0.499 0.499
Ir1 0.004 0.004 0.004
Ir2 0.254 0.254 0.254
Cr1 0.743 0.743 0.743

Computed properties:
**Calculated total energy**: -27.372 eV per cell
**SG**: R3m, No. 160
**E_form**: 5.125 kcal/mol of atoms

=====

Which formula does entry 2 have?
Cs4Mg3H10

=====

Copy entry 5 word for word.
Computed, not measured: a geometry-optimized Th4ZnGa structure at the PBE level of DFT.

a b c (Å): 5.615 7.635 7.635
angles (deg): 90.00 90.00 90.00
Positions (direct):
Th1 0.500 0.158 0.341
Th2 0.500 0.341 0.842
Th3 0.500 0.659 0.158
Th4 0.000 0.842 0.341
Th5 0.500 0.842 0.659
Th6 0.000 0.341 0.158
Th7 0.000 0.659 0.842
Th8 0.000 0.158 0.659
Zn1 0.750 0.500 0.500
Zn2 0.250 0.500 0.500
Ga1 0.250 0.000 0.000
Ga2 0.750 0.000 0.000

Computed properties:
**Calculated total energy**: -71.009 eV per cell
**SG**: P4/mcc, No. 124
**E_form**: -5.859 kcal/mol of atoms

=====

What is the formula in the second record?
Cs4Mg3H10